The following is a GGA+U calculation of a geometry-optimized CrAuI2O structure, from Alexandria.

The energy relative to the lowest polymorph listed for this composition is 471.7 meV per atom. The total energy is -3.510 eV per atom.

The structure belongs to space group P4/mmm (No. 123); the cell edges are 5.7810, 5.7810 and 4.0006 Å and the angles 90.00°, 90.00° and 90.00°. Symmetry generates all atoms from Cr at (0.0000, 0.0000, 0.0000), Au at (0.5000, 0.5000, 0.5000), I at (0.0000, 0.5000, 0.5000) and O at (0.5000, 0.5000, 0.0000).